# 1
Compound: YAgTe
Source: the Open Quantum Materials Database
Functional: PBE
Structure: relaxed

Results
ΔE to the lowest computed polymorph in meV/atom: 0
SG: F-43m

abc: 5.034 5.034 5.034
angles: 60.00 60.00 60.00
Fractional positions:
Ag (0.250, 0.250, 0.250)
Te (0.750, 0.750, 0.750)
Y (0.000, 0.000, 0.000)



# 2
Compound: Y2AgTe2
Source: the Open Quantum Materials Database
Functional: PBE
Structure: relaxed

Results
ΔE to the lowest computed polymorph in meV/atom: 172
SG: I4/mmm

abc: 5.244 5.244 7.564
angles: 110.28 110.28 90.00
Fractional positions:
Ag (0.000, 0.000, 0.000)
Te (0.750, 0.250, 0.500)
Te (0.250, 0.750, 0.500)
Y (0.636, 0.636, 0.272)
Y (0.364, 0.364, 0.728)



# 3
Compound: Y2AgTe2
Source: the Open Quantum Materials Database
Functional: PBE
Structure: relaxed

Results
ΔE to the lowest computed polymorph in meV/atom: 0
SG: I4/mmm

abc: 7.007 7.007 7.007
angles: 134.78 134.78 65.88
Fractional positions:
Ag (0.000, 0.000, 0.000)
Te (0.357, 0.357, 0.000)
Te (0.643, 0.643, 0.000)
Y (0.750, 0.250, 0.500)
Y (0.250, 0.750, 0.500)



# 4
Compound: Y6AgTe2
Source: the Open Quantum Materials Database
Functional: PBE
Structure: relaxed

Results
ΔE to the lowest computed polymorph in meV/atom: 0
SG: Pnma

abc: 22.120 4.057 11.567
angles: 90.00 90.00 90.00
Fractional positions:
Ag (0.074, 0.750, 0.149)
Ag (0.574, 0.750, 0.351)
Ag (0.426, 0.250, 0.649)
Ag (0.926, 0.250, 0.851)
Te (0.739, 0.250, 0.030)
Te (0.873, 0.750, 0.220)
Te (0.373, 0.750, 0.280)
Te (0.239, 0.250, 0.470)
Te (0.761, 0.750, 0.530)
Te (0.627, 0.250, 0.720)
Te (0.127, 0.250, 0.780)
Te (0.261, 0.750, 0.970)
Y (0.158, 0.250, 0.041)
Y (0.353, 0.250, 0.079)
Y (0.484, 0.750, 0.113)
Y (0.969, 0.250, 0.119)
Y (0.609, 0.250, 0.165)
Y (0.734, 0.750, 0.244)
Y (0.234, 0.750, 0.256)
Y (0.109, 0.250, 0.335)
Y (0.469, 0.250, 0.381)
Y (0.984, 0.750, 0.387)
Y (0.853, 0.250, 0.421)
Y (0.658, 0.250, 0.459)
Y (0.342, 0.750, 0.541)
Y (0.147, 0.750, 0.579)
Y (0.016, 0.250, 0.613)
Y (0.531, 0.750, 0.619)
Y (0.891, 0.750, 0.665)
Y (0.766, 0.250, 0.744)
Y (0.266, 0.250, 0.756)
Y (0.391, 0.750, 0.835)
Y (0.031, 0.750, 0.881)
Y (0.516, 0.250, 0.887)
Y (0.647, 0.750, 0.921)
Y (0.842, 0.750, 0.959)



# 5
Compound: Y6AgTe2
Source: the Open Quantum Materials Database
Functional: PBE
Structure: relaxed

Results
ΔE to the lowest computed polymorph in meV/atom: 21
SG: P-62m

abc: 8.484 8.484 4.002
angles: 90.00 90.00 120.00
Fractional positions:
Ag (0.000, 0.000, 0.000)
Te (0.667, 0.333, 0.500)
Te (0.333, 0.667, 0.500)
Y (0.403, 0.000, 0.000)
Y (0.000, 0.403, 0.000)
Y (0.597, 0.597, 0.000)
Y (0.744, 0.000, 0.500)
Y (0.256, 0.256, 0.500)
Y (0.000, 0.744, 0.500)



# 6
Compound: Zr2Ag2Te
Source: the Open Quantum Materials Database
Functional: PBE
Structure: relaxed

Results
SG: I4/mmm

abc: 7.191 7.191 7.191
angles: 147.42 147.42 46.74
Fractional positions:
Ag (0.750, 0.250, 0.500)
Ag (0.250, 0.750, 0.500)
Te (0.000, 0.000, 0.000)
Zr (0.398, 0.398, 0.000)
Zr (0.602, 0.602, 0.000)



# 7
Compound: Zr2AgTe2
Source: the Open Quantum Materials Database
Functional: PBE
Structure: relaxed

Results
SG: I4/mmm

abc: 6.967 6.967 6.967
angles: 138.99 138.99 59.39
Each line ends with the local moment (μB).
Fractional positions:
Ag (0.000, 0.000, 0.000)  0.00
Te (0.750, 0.250, 0.500)  -0.01
Te (0.250, 0.750, 0.500)  -0.01
Zr (0.379, 0.379, 0.000)  0.14
Zr (0.621, 0.621, 0.000)  0.14



# 8
Compound: Zr2AgTe
Source: the Open Quantum Materials Database
Functional: PBE
Structure: relaxed

Results
SG: F-43m

abc: 5.009 5.009 5.009
angles: 60.00 60.00 60.00
Each line ends with the local moment (μB).
Fractional positions:
Ag (0.500, 0.500, 0.500)  0.02
Te (0.750, 0.750, 0.750)  -0.04
Zr (0.000, 0.000, 0.000)  0.50
Zr (0.250, 0.250, 0.250)  0.67



# 9
Compound: TmThAg
Source: the Open Quantum Materials Database
Functional: PBE
Structure: relaxed

Results
ΔH_f (0 K) in eV/atom: 0.223
ΔE to the lowest computed polymorph in meV/atom: 0
SG: F-43m

abc: 5.031 5.031 5.031
angles: 60.00 60.00 60.00
Each line ends with the local moment (μB).
Fractional positions:
Ag (0.000, 0.000, 0.000)  0.01
Th (0.250, 0.250, 0.250)  0.11
Tm (0.750, 0.750, 0.750)  0.13



# 10
Compound: ThUAg
Source: the Open Quantum Materials Database
Functional: PBE
Structure: relaxed

Results
ΔH_f (0 K) in eV/atom: 0.810
ΔE to the lowest computed polymorph in meV/atom: 0
SG: F-43m

abc: 5.000 5.000 5.000
angles: 60.00 60.00 60.00
Each line ends with the local moment (μB).
Fractional positions:
Ag (0.000, 0.000, 0.000)  0.02
Th (0.250, 0.250, 0.250)  0.34
U (0.750, 0.750, 0.750)  2.62



# 11
Compound: ThAgW
Source: the Open Quantum Materials Database
Functional: PBE
Structure: relaxed

Results
ΔH_f (0 K) in eV/atom: 1.114
SG: F-43m

abc: 4.731 4.731 4.731
angles: 60.00 60.00 60.00
Each line ends with the local moment (μB).
Fractional positions:
Ag (0.000, 0.000, 0.000)  0.02
Th (0.250, 0.250, 0.250)  0.06
W (0.750, 0.750, 0.750)  0.83



# 12
Compound: YThAg
Source: the Open Quantum Materials Database
Functional: PBE
Structure: relaxed

Results
ΔH_f (0 K) in eV/atom: 0.233
ΔE to the lowest computed polymorph in meV/atom: 0
SG: F-43m

abc: 5.064 5.064 5.064
angles: 60.00 60.00 60.00
Each line ends with the local moment (μB).
Fractional positions:
Ag (0.000, 0.000, 0.000)  0.02
Th (0.250, 0.250, 0.250)  0.14
Y (0.750, 0.750, 0.750)  0.13



# 13
Compound: Th3Zn9Ag2
Source: the Open Quantum Materials Database
Functional: PBE
Structure: relaxed

Results
ΔH_f (0 K) in eV/atom: -0.263
SG: Immm

abc: 8.385 8.385 8.385
angles: 148.96 115.41 73.39
Fractional positions:
Ag (0.819, 0.500, 0.319)
Ag (0.181, 0.500, 0.681)
Th (0.500, 0.000, 0.500)
Th (0.793, 0.293, 0.500)
Th (0.207, 0.707, 0.500)
Zn (0.000, 0.000, 0.000)
Zn (0.481, 0.342, 0.139)
Zn (0.797, 0.658, 0.139)
Zn (0.360, 0.141, 0.220)
Zn (0.079, 0.859, 0.220)
Zn (0.921, 0.141, 0.780)
Zn (0.640, 0.859, 0.780)
Zn (0.203, 0.342, 0.861)
Zn (0.519, 0.658, 0.861)



# 14
Compound: ThZnAg
Source: the Open Quantum Materials Database
Functional: PBE
Structure: relaxed

Results
ΔH_f (0 K) in eV/atom: 0.038
SG: F-43m

abc: 4.721 4.721 4.721
angles: 60.00 60.00 60.00
Fractional positions:
Ag (0.250, 0.250, 0.250)
Th (0.750, 0.750, 0.750)
Zn (0.000, 0.000, 0.000)



# 15
Compound: Tl2Ag
Source: the Open Quantum Materials Database
Functional: PBE
Structure: relaxed

Results
SG: Fd-3m

abc: 6.260 6.260 6.260
angles: 60.00 60.00 60.00
Fractional positions:
Ag (0.000, 0.000, 0.000)
Ag (0.250, 0.250, 0.250)
Tl (0.625, 0.625, 0.125)
Tl (0.625, 0.125, 0.625)
Tl (0.125, 0.625, 0.625)
Tl (0.625, 0.625, 0.625)



# 16
Compound: TlAg8
Source: the Open Quantum Materials Database
Functional: PBE
Structure: relaxed

Results
SG: C2/m

abc: 4.975 4.975 26.851
angles: 90.11 90.11 47.19
Fractional positions:
Ag (0.752, 0.752, 0.232)
Ag (0.452, 0.452, 0.267)
Ag (0.153, 0.153, 0.303)
Ag (0.853, 0.853, 0.339)
Ag (0.552, 0.552, 0.375)
Ag (0.252, 0.252, 0.410)
Ag (0.951, 0.951, 0.446)
Ag (0.650, 0.650, 0.482)
Ag (0.350, 0.350, 0.518)
Ag (0.049, 0.049, 0.554)
Ag (0.748, 0.748, 0.590)
Ag (0.448, 0.448, 0.625)
Ag (0.147, 0.147, 0.661)
Ag (0.847, 0.847, 0.697)
Ag (0.548, 0.548, 0.733)
Ag (0.248, 0.248, 0.768)
Tl (0.048, 0.048, 0.179)
Tl (0.952, 0.952, 0.821)



# 17
Compound: TlAg5
Source: the Open Quantum Materials Database
Functional: PBE
Structure: relaxed

Results
SG: Pmc2_1

abc: 5.817 6.756 12.280
angles: 90.00 90.00 90.00
Fractional positions:
Ag (0.500, 0.645, 0.039)
Ag (0.253, 0.307, 0.127)
Ag (0.747, 0.307, 0.127)
Ag (0.000, 0.954, 0.198)
Ag (0.500, 0.952, 0.200)
Ag (0.000, 0.558, 0.284)
Ag (0.250, 0.197, 0.349)
Ag (0.750, 0.197, 0.349)
Ag (0.000, 0.867, 0.446)
Ag (0.500, 0.927, 0.476)
Ag (0.500, 0.355, 0.539)
Ag (0.253, 0.693, 0.627)
Ag (0.747, 0.693, 0.627)
Ag (0.000, 0.046, 0.698)
Ag (0.500, 0.048, 0.700)
Ag (0.000, 0.442, 0.784)
Ag (0.250, 0.803, 0.849)
Ag (0.750, 0.803, 0.849)
Ag (0.000, 0.133, 0.946)
Ag (0.500, 0.073, 0.976)
Tl (0.000, 0.643, 0.034)
Tl (0.500, 0.593, 0.322)
Tl (0.000, 0.357, 0.534)
Tl (0.500, 0.407, 0.822)



# 18
Compound: TlAg9
Source: the Open Quantum Materials Database
Functional: PBE
Structure: relaxed

Results
SG: Pmmn

abc: 2.955 3.924 40.553
angles: 90.00 90.00 90.00
Fractional positions:
Ag (0.500, 0.500, 0.183)
Ag (0.000, 0.000, 0.220)
Ag (0.500, 0.500, 0.258)
Ag (0.000, 0.000, 0.295)
Ag (0.500, 0.500, 0.333)
Ag (0.000, 0.000, 0.370)
Ag (0.500, 0.500, 0.407)
Ag (0.000, 0.000, 0.444)
Ag (0.500, 0.500, 0.482)
Ag (0.000, 0.000, 0.518)
Ag (0.500, 0.500, 0.556)
Ag (0.000, 0.000, 0.593)
Ag (0.500, 0.500, 0.630)
Ag (0.000, 0.000, 0.667)
Ag (0.500, 0.500, 0.705)
Ag (0.000, 0.000, 0.742)
Ag (0.500, 0.500, 0.780)
Ag (0.000, 0.000, 0.817)
Tl (0.000, 0.000, 0.133)
Tl (0.500, 0.500, 0.867)



# 19
Compound: Tl2Ag3
Source: the Open Quantum Materials Database
Functional: PBE
Structure: relaxed

Results
SG: Immm

abc: 5.675 5.675 5.675
angles: 130.45 119.45 81.92
Fractional positions:
Ag (0.259, 0.000, 0.259)
Ag (0.000, 0.500, 0.500)
Ag (0.741, 0.000, 0.741)
Tl (0.307, 0.307, 0.000)
Tl (0.693, 0.693, 0.000)



# 20
Compound: TlAg2
Source: the Open Quantum Materials Database
Functional: PBE
Structure: relaxed

Results
SG: Fd-3m

abc: 5.654 5.654 5.654
angles: 60.00 60.00 60.00
Fractional positions:
Ag (0.625, 0.625, 0.125)
Ag (0.625, 0.125, 0.625)
Ag (0.125, 0.625, 0.625)
Ag (0.625, 0.625, 0.625)
Tl (0.000, 0.000, 0.000)
Tl (0.250, 0.250, 0.250)



# 21
Compound: Tl2Ag7
Source: the Open Quantum Materials Database
Functional: PBE
Structure: relaxed

Results
SG: P3m1

abc: 3.029 3.029 30.127
angles: 90.00 90.00 60.00
Fractional positions:
Ag (0.000, 0.000, 0.268)
Ag (0.333, 0.333, 0.346)
Ag (0.667, 0.667, 0.423)
Ag (0.000, 0.000, 0.500)
Ag (0.333, 0.333, 0.577)
Ag (0.667, 0.667, 0.654)
Ag (0.000, 0.000, 0.732)
Tl (0.667, 0.667, 0.176)
Tl (0.333, 0.333, 0.824)



E_tot in eV per atom, matching the order above: -4.72; -4.85; -5.02; -6.01; -5.99; -5.02; -5.21; -5.54; -4.68; -6.37; -6.62; -5.33; -3.07; -3.80; -2.14; -2.70; -2.63; -2.73; -2.52; -2.59; -2.61